<a>
K3Zn4Au2 | Alexandria | PBE | optimized geometry; Fermi-level density of states = 3.32 states/eV per cell; ρ = 5.01 g cm⁻³
1.0
6.302 -2.140 0.000
6.302 2.140 0.000
-3.653 0.000 9.500
K Zn Au
3 4 2
direct
0.000 0.000 0.000
0.410 0.410 0.311
0.590 0.590 0.689
0.180 0.180 0.435
0.270 0.270 0.940
0.730 0.730 0.060
0.820 0.820 0.565
0.315 0.315 0.712
0.685 0.685 0.288

***

<b>
K3Zn4Au2 | Alexandria | PBE | optimized geometry; Fermi-level density of states = 2.96 states/eV per cell; ρ = 5.22 g cm⁻³
1.0
6.173 -2.266 0.000
6.173 2.266 0.000
-3.191 0.000 8.781
K Zn Au
3 4 2
direct
0.000 0.000 0.000
0.373 0.373 0.628
0.627 0.627 0.372
0.083 0.083 0.633
0.246 0.246 0.919
0.754 0.754 0.081
0.917 0.917 0.367
0.324 0.324 0.226
0.676 0.676 0.774

***

Of them, the most stable is <b> and the least stable is <a>.

***

<a>
K2Zn2Au3 | Alexandria | PBE | optimized geometry; Fermi-level density of states = 1.64 states/eV per cell; ρ = 7.92 g cm⁻³
1.0
5.914 -2.257 0.000
5.914 2.257 0.000
-4.247 0.000 6.283
K Zn Au
2 2 3
direct
0.162 0.162 0.291
0.838 0.838 0.709
0.138 0.138 0.768
0.862 0.862 0.232
0.405 0.405 0.069
0.500 0.500 0.500
0.595 0.595 0.931

***

<b>
K2Zn2Au3 | Alexandria | PBE | optimized geometry; Fermi-level density of states = 2.61 states/eV per cell; ρ = 6.93 g cm⁻³
1.0
6.902 -2.267 0.000
6.902 2.267 0.000
-1.636 0.000 6.126
K Zn Au
2 2 3
direct
0.137 0.137 0.049
0.863 0.863 0.951
0.394 0.394 0.478
0.606 0.606 0.522
0.000 0.000 0.500
0.211 0.211 0.580
0.789 0.789 0.420

***

Of them, the most stable is <b> and the least stable is <a>.

***

<a>
K3Zn2Au4 | Alexandria | PBE | optimized geometry; Fermi-level density of states = 3.94 states/eV per cell; ρ = 6.92 g cm⁻³
1.0
6.057 -2.294 0.000
6.057 2.294 0.000
-2.580 0.000 8.950
K Zn Au
3 2 4
direct
0.000 0.000 0.000
0.374 0.374 0.621
0.626 0.626 0.379
0.327 0.327 0.217
0.673 0.673 0.783
0.086 0.086 0.634
0.256 0.256 0.912
0.744 0.744 0.088
0.914 0.914 0.366

***

<b>
K3Zn2Au4 | Alexandria | PBE | optimized geometry; Fermi-level density of states = 5.83 states/eV per cell; ρ = 6.76 g cm⁻³
1.0
5.794 -5.520 0.000
5.794 5.520 0.000
-2.930 0.000 7.963
K Zn Au
6 4 8
direct
0.175 0.825 0.750
0.244 0.487 0.358
0.487 0.244 0.858
0.513 0.756 0.142
0.756 0.513 0.642
0.825 0.175 0.250
0.023 0.789 0.084
0.211 0.977 0.416
0.789 0.023 0.584
0.977 0.211 0.916
0.080 0.208 0.638
0.142 0.502 0.917
0.208 0.080 0.138
0.498 0.858 0.583
0.502 0.142 0.417
0.792 0.920 0.862
0.858 0.498 0.083
0.920 0.792 0.362

***

Of them, the most stable is <a> and the least stable is <b>.

***

<a>
KZrAu2 | Alexandria | PBE | optimized geometry; Fermi-level density of states = 8.81 states/eV per cell; ρ = 7.47 g cm⁻³
1.0
-3.952 3.952 3.730
3.952 -3.952 3.730
3.952 3.952 -3.730
K Zr Au
2 2 4
direct
0.000 0.000 0.000
0.750 0.250 0.500
0.250 0.750 0.500
0.500 0.500 0.000
0.176 0.625 0.051
0.375 0.426 0.551
0.574 0.125 0.949
0.875 0.824 0.449

***

<b>
KZrAu2 | Alexandria | PBE | optimized geometry; Fermi-level density of states = 2.72 states/eV per cell; ρ = 9.71 g cm⁻³
1.0
2.968 0.000 0.000
0.000 5.497 0.000
0.000 0.000 5.497
K Zr Au
1 1 2
direct
0.000 0.000 0.000
0.000 0.500 0.502
0.500 0.000 0.500
0.500 0.500 0.002

***

<c>
KZrAu2 | Alexandria | PBE | optimized geometry; Fermi-level density of states = 3.02 states/eV per cell; ρ = 10.40 g cm⁻³
1.0
0.000 3.472 3.472
3.472 0.000 3.472
3.472 3.472 0.000
K Zr Au
1 1 2
direct
0.000 0.000 0.000
0.750 0.750 0.750
0.250 0.250 0.250
0.500 0.500 0.500

***

<d>
KZrAu2 | Alexandria | PBE | optimized geometry; Fermi-level density of states = 3.05 states/eV per cell; ρ = 8.68 g cm⁻³
1.0
3.515 0.000 0.000
0.000 3.515 0.000
0.000 0.000 8.120
K Zr Au
1 1 2
direct
0.000 0.000 0.000
0.000 0.000 0.500
0.500 0.500 0.315
0.500 0.500 0.685

***

Of them, the most stable is <d> and the least stable is <c>.

***

<a>
KZrAu2 | Alexandria | PBE | optimized geometry; Fermi-level density of states = 3.46 states/eV per cell; ρ = 9.79 g cm⁻³
1.0
-2.143 2.143 4.839
2.143 -2.143 4.839
2.143 2.143 -4.839
K Zr Au
1 1 2
direct
0.000 0.000 0.000
0.250 0.750 0.500
0.500 0.500 0.000
0.750 0.250 0.500

***

<b>
KZrAu2 | Alexandria | PBE | optimized geometry; Fermi-level density of states = 3.35 states/eV per cell; ρ = 7.81 g cm⁻³
1.0
1.956 1.129 8.413
-1.956 1.129 8.413
0.000 -2.259 8.413
K Zr Au
1 1 2
direct
0.000 0.000 0.000
0.500 0.500 0.500
0.231 0.231 0.231
0.769 0.769 0.769

***

<c>
KZrAu2 | Alexandria | PBE | optimized geometry; Fermi-level density of states = 2.84 states/eV per cell; ρ = 9.61 g cm⁻³
1.0
5.715 -1.501 0.000
5.715 1.501 0.000
-1.149 0.000 5.281
K Zr Au
1 1 2
direct
0.000 0.000 0.000
0.206 0.206 0.607
0.471 0.471 0.489
0.755 0.755 0.139

***

Of them, the most stable is <b> and the least stable is <a>.

***

<a>
KZrAu2 | Alexandria | PBE | optimized geometry; Fermi-level density of states = 3.61 states/eV per cell; ρ = 9.58 g cm⁻³
1.0
0.000 3.568 3.568
3.568 0.000 3.568
3.568 3.568 0.000
K Zr Au
1 1 2
direct
0.000 0.000 0.000
0.500 0.500 0.500
0.250 0.250 0.250
0.750 0.750 0.750

***

<b>
KZrAu2 | Alexandria | PBE | optimized geometry; Fermi-level density of states = 2.91 states/eV per cell; ρ = 9.38 g cm⁻³
1.0
-1.494 2.661 5.835
1.494 -2.661 5.835
1.494 2.661 -5.835
K Zr Au
1 1 2
direct
0.000 0.000 0.000
0.297 0.797 0.500
0.513 0.513 0.000
0.733 0.233 0.500

***

Of them, the most stable is <b> and the least stable is <a>.